Density functional theory data (GGA-PBE) for crystalline PrSmS at its relaxed geometry.

Results
formation energy from raw total energies: -1.2545 eV per atom
energy relative to the lowest polymorph listed for this composition: 0 meV/atom
crystal system: trigonal
D(E_F): 5.04 states/eV per cell
calculated density: 6.06 Mg/m³
M_tot: 0.000 μB per formula unit

abc: 13.1452 13.1452 13.1452
angles: 17.40 17.40 17.40
Fractional positions:
Pr 0.1245 0.1245 0.1245
Pr 0.8755 0.8755 0.8755
Sm 0.3739 0.3739 0.3739
Sm 0.6261 0.6261 0.6261
S 0.2524 0.2524 0.2524
S 0.7476 0.7476 0.7476



Density functional theory data (GGA-PBE) for crystalline Pr3Sm2S8 at its relaxed geometry.

Results
formation energy from raw total energies: -1.8090 eV per atom
crystal system: monoclinic
D(E_F): 8.96 states/eV per cell
calculated density: 4.29 Mg/m³
M_tot: 0.000 μB per formula unit

abc: 8.1816 8.1816 6.9612
angles: 107.99 107.99 60.70
Fractional positions:
Pr 0.0000 0.0000 0.0000
Pr 0.2643 0.7357 0.5000
Pr 0.7357 0.2643 0.5000
Sm 0.2647 0.2647 0.8471
Sm 0.7353 0.7353 0.1529
S 0.1029 0.6410 0.0824
S 0.1192 0.1192 0.4379
S 0.3590 0.8971 0.9176
S 0.3818 0.3818 0.6017
S 0.6182 0.6182 0.3983
S 0.6410 0.1029 0.0824
S 0.8808 0.8808 0.5621
S 0.8971 0.3590 0.9176



Density functional theory data (GGA-PBE) for crystalline Pr3Sm4S8 at its relaxed geometry.

Results
formation energy from raw total energies: -2.0407 eV per atom
crystal system: monoclinic
D(E_F): 7.06 states/eV per cell
calculated density: 5.67 Mg/m³
M_tot: 0.000 μB per formula unit

abc: 8.0960 8.0960 8.0816
angles: 119.93 119.93 90.01
Fractional positions:
Pr 0.0000 0.0000 0.0000
Pr 0.0000 0.5000 0.0000
Pr 0.5000 0.0000 0.0000
Sm 0.0000 0.5000 0.5000
Sm 0.5000 0.0000 0.5000
Sm 0.5000 0.5000 0.0000
Sm 0.5000 0.5000 0.5000
S 0.2521 0.7479 0.5000
S 0.2528 0.7472 0.0000
S 0.2544 0.2544 0.5055
S 0.2552 0.2552 0.0048
S 0.7448 0.7448 0.9952
S 0.7456 0.7456 0.4945
S 0.7472 0.2528 0.0000
S 0.7479 0.2521 0.5000



Density functional theory data (GGA-PBE) for crystalline Pr4Sm3S8 at its relaxed geometry.

Results
formation energy from raw total energies: -2.0303 eV per atom
crystal system: monoclinic
D(E_F): 6.97 states/eV per cell
calculated density: 5.60 Mg/m³
M_tot: 0.000 μB per formula unit

abc: 8.1081 8.1081 8.0980
angles: 119.95 119.95 90.01
Fractional positions:
Pr 0.0000 0.0000 0.0000
Pr 0.0000 0.5000 0.0000
Pr 0.5000 0.0000 0.0000
Pr 0.5000 0.5000 0.5000
Sm 0.0000 0.5000 0.5000
Sm 0.5000 0.0000 0.5000
Sm 0.5000 0.5000 0.0000
S 0.2480 0.7520 0.5000
S 0.2506 0.2506 0.5055
S 0.2511 0.2511 0.9965
S 0.2528 0.7472 0.0000
S 0.7472 0.2528 0.0000
S 0.7489 0.7489 0.0035
S 0.7494 0.7494 0.4945
S 0.7520 0.2480 0.5000



Density functional theory data (GGA-PBE) for crystalline PrSm3S4 at its relaxed geometry.

Results
formation energy from raw total energies: -2.0081 eV per atom
energy relative to the lowest polymorph listed for this composition: 23 meV/atom
crystal system: cubic
D(E_F): 4.37 states/eV per cell
calculated density: 6.44 Mg/m³
M_tot: 0.000 μB per formula unit

abc: 5.7066 5.7066 5.7066
angles: 90.00 90.00 90.00
Fractional positions:
Pr 0.0000 0.0000 0.0000
Sm 0.0000 0.5000 0.5000
Sm 0.5000 0.0000 0.5000
Sm 0.5000 0.5000 0.0000
S 0.0000 0.0000 0.5000
S 0.0000 0.5000 0.0000
S 0.5000 0.0000 0.0000
S 0.5000 0.5000 0.5000



Density functional theory data (GGA-PBE) for crystalline PrSmS2 at its relaxed geometry.

Results
formation energy from raw total energies: -2.0142 eV per atom
energy relative to the lowest polymorph listed for this composition: 11 meV/atom
crystal system: hexagonal
D(E_F): 3.41 states/eV per cell
calculated density: 6.22 Mg/m³
M_tot: 0.000 μB per formula unit

abc: 4.0155 4.0155 13.5797
angles: 90.00 90.00 120.00
Fractional positions:
Pr 0.3333 0.6667 0.2500
Pr 0.6667 0.3333 0.7500
Sm 0.0000 0.0000 0.0000
Sm 0.0000 0.0000 0.5000
S 0.3333 0.6667 0.6195
S 0.3333 0.6667 0.8805
S 0.6667 0.3333 0.1195
S 0.6667 0.3333 0.3805